i:
AgPSeBr2 | PBE | optimized geometry

abc: 5.1278 5.1278 5.4056
angles: 90.00 90.00 90.00
Space group P4/mmm (No. 123)
Asymmetric unit:
Ag 0.0000 0.0000 0.0000
P 0.5000 0.5000 0.5000
Se 0.0000 0.0000 0.5000
Br 0.0000 0.5000 0.0000

Output
V   142 Å³ per cell


ii:
AgPSeBr2 | PBE | optimized geometry

abc: 5.4862 5.4862 5.1292
angles: 90.00 90.00 90.00
Space group P4/mmm (No. 123)
Asymmetric unit:
Ag 0.0000 0.0000 0.0000
P 0.5000 0.5000 0.0000
Se 0.0000 0.0000 0.5000
Br 0.0000 0.5000 0.5000

Output
V   154 Å³ per cell


iii:
AgPSeBr2 | PBE | optimized geometry

abc: 5.2110 5.2110 4.7879
angles: 90.00 90.00 90.00
Space group P4/mmm (No. 123)
Asymmetric unit:
Ag 0.0000 0.0000 0.0000
P 0.5000 0.5000 0.5000
Se 0.5000 0.5000 0.0000
Br 0.0000 0.5000 0.5000

Output
V   130 Å³ per cell


Which one is most stable, and which one is least stable? iii is the most stable of them, while i is the least stable.


i:
PaAg2Br8 | PBE | optimized geometry

abc: 20.8204 7.7585 13.8190
angles: 90.00 131.18 90.00
Space group C2/c (No. 15)
Asymmetric unit:
Pa 0.0000 0.0576 0.2500
Ag 0.0965 0.2799 0.7092
Br 0.0674 0.2016 0.9333
Br 0.0671 0.2932 0.4355
Br 0.1483 0.0503 0.2897
Br 0.2021 0.4839 0.2999

Output
V   1680 Å³ per cell


ii:
PaAg2Br8 | PBE | optimized geometry

abc: 11.5569 11.8005 6.2224
angles: 90.00 92.59 90.00
Space group C2/m (No. 12)
Asymmetric unit:
Pa 0.0000 0.0000 0.0000
Ag 0.2331 0.5000 0.2494
Br 0.0126 0.5000 0.2521
Br 0.1063 0.1694 0.7793
Br 0.1888 0.0000 0.2733

Output
V   848 Å³ per cell


Which one is most stable, and which one is least stable? ii is the most stable of them, while i is the least stable.


i:
AgPbBr2 | PBE | optimized geometry

abc: 8.4336 8.4213 3.5986
angles: 90.00 90.09 90.00
Space group C2/m (No. 12)
Asymmetric unit:
Ag 0.0000 0.0000 0.0000
Pb 0.0000 0.5000 0.0000
Br 0.2500 0.2500 0.0000

Output
V   256 Å³ per cell


ii:
AgPbBr2 | PBE | optimized geometry

abc: 3.6577 5.8927 5.7790
angles: 90.00 98.84 90.00
Space group Pm (No. 6)
Asymmetric unit:
Ag 0.0000 0.0000 0.0000
Pb 0.7423 0.5000 0.4840
Br 0.0219 0.5000 0.9932
Br 0.9488 0.0000 0.4928

Output
V   123 Å³ per cell


Which one is most stable, and which one is least stable? ii is the most stable of them, while i is the least stable.


i:
Ag2PbBr | PBE | optimized geometry

abc: 4.3281 4.3281 10.6621
angles: 90.00 90.00 90.00
Space group I4/mmm (No. 139)
Asymmetric unit:
Ag 0.0000 0.5000 0.2500
Pb 0.0000 0.0000 0.0000
Br 0.0000 0.0000 0.5000

Output
V   200 Å³ per cell


ii:
Ag2PbBr | PBE | optimized geometry

abc: 3.9312 5.9331 8.5231
angles: 90.00 90.00 90.00
Space group Cmmm (No. 65)
Asymmetric unit:
Ag 0.0000 0.0000 0.2399
Pb 0.0000 0.5000 0.5000
Br 0.0000 0.5000 0.0000

Output
V   199 Å³ per cell


Which one is most stable, and which one is least stable? ii is the most stable of them, while i is the least stable.